Entry 1:
Below is a relaxed TaMnIr crystal, with properties calculated at the GGA-PBE level.

E_form   -0.17 eV per atom
Space group   I4mm (107)
Distance to the lowest polymorph of the same formula   109 meV/atom

The structure in POSCAR format:
```
TaMnIr
1.0
-5.577 -2.653 0.147
-3.897 -4.792 -0.096
-0.332 -0.561 2.652
Ir Mn Ta
1 1 1
Cartesian
-9.321 -7.331 0.094
-3.496 -2.944 1.752
-6.463 -5.178 0.908
```

---

Entry 2:
Below is a relaxed Ta6Mn5Ir crystal, with properties calculated at the GGA-PBE level.

E_form   -0.26 eV per atom
Space group   Immm (71)

The structure in POSCAR format:
```
Ta6Mn5Ir
1.0
-1.129 -0.924 -4.101
4.347 3.916 -2.079
2.741 -6.377 2.992
Ta Mn Ir
6 5 1
Cartesian
4.721 1.255 -1.583
2.590 -0.665 -0.563
2.648 2.432 -3.587
0.569 0.559 -2.593
3.369 -2.721 -2.625
1.238 -4.640 -1.605
0.871 -2.073 -2.083
2.173 1.958 -1.040
3.061 -0.134 -3.123
5.088 -1.312 -1.105
2.898 -3.252 -0.065
0.000 0.000 0.000
```

---

Entry 3:
Below is a relaxed TaMn2Ir crystal, with properties calculated at the GGA-PBE level.

E_form   -0.17 eV per atom
Space group   I-4m2 (119)
Distance to the lowest polymorph of the same formula   54 meV/atom

The structure in POSCAR format:
```
TaMn2Ir
1.0
-3.559 1.780 2.668
-3.247 -3.305 1.217
4.779 0.220 0.254
Ta Mn Ir
1 2 1
Cartesian
-3.403 -0.763 1.943
0.000 0.000 0.000
-0.936 -1.924 1.707
-1.091 0.619 2.433
```

---

Entry 4:
Below is a relaxed TaMnIr2 crystal, with properties calculated at the GGA-PBE level.

E_form   -0.37 eV per atom
Space group   Cmmm (65)

The structure in POSCAR format:
```
TaMnIr2
1.0
-2.031 5.133 3.023
-2.925 -3.221 -1.676
-1.100 -0.368 2.636
Ir Mn Ta
2 1 1
Cartesian
-1.565 2.382 2.829
0.000 0.000 0.000
-2.013 -1.795 0.480
-2.478 0.956 0.673
```

---

Entry 5:
Below is a relaxed TaMnIr3 crystal, with properties calculated at the GGA-PBE level.

E_form   1.17 eV per atom
Space group   Pm-3m (221)
Distance to the lowest polymorph of the same formula   0 meV/atom

The structure in POSCAR format:
```
TaMnIr3
1.0
-1.534 2.832 3.037
2.206 -2.187 3.154
3.518 2.607 -0.654
Ir Ta Mn
3 1 1
Cartesian
1.759 1.303 -0.327
1.103 -1.094 1.577
-0.767 1.416 1.519
2.095 1.626 2.769
0.000 0.000 0.000
```

---

Entry 6:
Below is a relaxed TaMn2Ir crystal, with properties calculated at the GGA-PBE level.

E_form   0.46 eV per atom
Space group   I-42d (122)
Distance to the lowest polymorph of the same formula   675 meV/atom

The structure in POSCAR format:
```
TaMn2Ir
1.0
3.640 0.000 0.000
0.000 3.640 0.000
1.820 1.820 9.334
Ir Mn Ta
2 4 2
Cartesian
3.640 1.820 4.667
0.000 0.000 0.000
2.730 2.403 7.001
3.057 0.910 2.334
4.550 4.877 7.001
0.583 2.730 2.334
1.820 3.640 4.667
1.820 1.820 0.000
```

---

Entry 7:
Below is a relaxed Ta2MnIr crystal, with properties calculated at the GGA-PBE level.

E_form   -0.23 eV per atom
Space group   F-43m (216)

The structure in POSCAR format:
```
Ta2MnIr
1.0
4.467 0.000 0.000
2.234 3.869 0.000
2.234 1.290 3.648
Mn Ta Ir
1 2 1
Cartesian
6.701 3.869 2.736
2.234 1.290 0.912
0.000 0.000 0.000
4.467 2.579 1.824
```

---

Entry 8:
Below is a relaxed TaMn2Ir crystal, with properties calculated at the GGA-PBE level.

E_form   0.00 eV per atom
Space group   P4/mmm (123)
Distance to the lowest polymorph of the same formula   222 meV/atom

The structure in POSCAR format:
```
TaMn2Ir
1.0
-2.478 -1.063 -0.072
-0.059 -0.042 2.696
-3.045 7.092 0.045
Mn Ta Ir
2 1 1
Cartesian
-1.584 3.689 0.023
-2.984 6.950 0.044
-2.030 1.220 1.324
-3.552 4.766 1.346
```

---

Density of states at the Fermi level (states/eV/f.u.)
3.05, 5.58, 5.03, 3.73, 6.97, 5.32, 0.87, 3.79